Li4CrFe3O8: relaxed, GGA+U.

Cell: 5.030 5.801 5.088 Å, 90.00 109.19 90.00°
Space group P2/m (No. 10)
One atom of each set of equivalent atoms:
Li  0.000  0.000  0.000 [1 per cell]
Li  0.000  0.500  0.000 [1 per cell]
Li  0.500  0.246  0.000 [2 per cell]
Cr  0.500  0.500  0.500 [1 per cell]
Fe  0.000  0.249  0.500 [2 per cell]
Fe  0.500  0.000  0.500 [1 per cell]
O  0.236  0.500  0.724 [2 per cell]
O  0.242  0.000  0.719 [2 per cell]
O  0.256  0.245  0.276 [4 per cell]

Computed properties:
Calculated total energy = -6.035 eV/atom